No. 1
Below is a geometry-optimized POs structure, with properties calculated at the PBE-GGA level. Values from VASP.

```
&SYSTEM
  ibrav = 0, nat = 8, ntyp = 2
/
ATOMIC_SPECIES
Os 190.23 Os.upf
P 30.97 P.upf
CELL_PARAMETERS angstrom
-3.595 -3.227 -1.028
-0.426 -0.809 4.031
-4.341 4.683 0.481
ATOMIC_POSITIONS crystal
Os 0.750 0.000 0.278
Os 0.000 0.500 0.500
Os 0.500 0.500 0.500
Os 0.250 0.000 0.722
P 0.750 0.500 0.102
P 0.250 0.000 0.355
P 0.750 0.000 0.645
P 0.250 0.500 0.898
```

***

No. 2
Below is a geometry-optimized KAgO3 structure, with properties calculated at the PBE-GGA level. Values from VASP.

```
&SYSTEM
  ibrav = 0, nat = 5, ntyp = 3
/
ATOMIC_SPECIES
Ag 107.87 Ag.upf
K 39.10 K.upf
O 16.00 O.upf
CELL_PARAMETERS angstrom
-3.034 2.389 1.309
-0.811 -2.663 2.979
2.644 1.989 2.497
ATOMIC_POSITIONS crystal
Ag 0.500 0.500 0.539
K 0.000 0.000 0.077
O 0.500 0.500 0.051
O 0.500 0.000 0.617
O 0.000 0.500 0.617
```

***

No. 3
Below is a geometry-optimized Dy3HoIn2C2 structure, with properties calculated at the PBE-GGA level. Values from VASP.

```
&SYSTEM
  ibrav = 0, nat = 8, ntyp = 4
/
ATOMIC_SPECIES
C 12.01 C.upf
Dy 162.50 Dy.upf
Ho 164.93 Ho.upf
In 114.82 In.upf
CELL_PARAMETERS angstrom
-1.717 0.563 3.104
-0.925 -2.773 -2.087
10.888 -9.457 7.740
ATOMIC_POSITIONS crystal
C 0.333 0.667 0.500
C 0.333 0.667 0.000
Dy 0.667 0.333 0.082
Dy 0.667 0.333 0.417
Dy 0.000 0.000 0.583
Ho 0.000 0.000 0.917
In 0.000 0.000 0.250
In 0.667 0.333 0.751
```

***

No. 4
Below is a geometry-optimized ErZnPO structure, with properties calculated at the PBE-GGA level. Values from VASP.

```
&SYSTEM
  ibrav = 0, nat = 8, ntyp = 4
/
ATOMIC_SPECIES
Er 167.26 Er.upf
O 16.00 O.upf
P 30.97 P.upf
Zn 65.41 Zn.upf
CELL_PARAMETERS angstrom
4.251 0.000 0.000
0.000 5.944 0.000
0.000 0.000 5.707
ATOMIC_POSITIONS crystal
Er 0.000 0.240 0.421
Er 0.000 0.760 0.921
O 0.500 0.324 0.393
O 0.500 0.676 0.893
P 0.000 0.771 0.414
P 0.000 0.229 0.914
Zn 0.500 0.352 0.027
Zn 0.500 0.648 0.527
```

***

No. 5
Below is a geometry-optimized NaHoPO structure, with properties calculated at the PBE-GGA level. Values from VASP.

```
&SYSTEM
  ibrav = 0, nat = 8, ntyp = 4
/
ATOMIC_SPECIES
Ho 164.93 Ho.upf
Na 22.99 Na.upf
O 16.00 O.upf
P 30.97 P.upf
CELL_PARAMETERS angstrom
3.998 0.000 0.000
0.000 6.344 0.000
0.000 0.000 5.614
ATOMIC_POSITIONS crystal
Ho 0.500 0.741 0.064
Ho 0.500 0.259 0.564
Na 0.000 0.125 0.065
Na 0.000 0.875 0.565
O 0.500 0.999 0.315
O 0.500 0.001 0.815
P 0.000 0.500 0.311
P 0.000 0.500 0.811
```

The energy above the most stable polymorph in this dataset is 0.0 meV per atom.

***

No. 6
Below is a geometry-optimized Cu2Ag3 structure, with properties calculated at the PBE-GGA level. Values from VASP.

```
&SYSTEM
  ibrav = 0, nat = 10, ntyp = 2
/
ATOMIC_SPECIES
Ag 107.87 Ag.upf
Cu 63.55 Cu.upf
CELL_PARAMETERS angstrom
-5.152 6.980 -5.240
2.827 -9.288 2.909
-2.771 0.017 2.747
ATOMIC_POSITIONS crystal
Ag 0.500 0.500 0.000
Ag 0.000 0.000 0.500
Ag 0.798 0.202 0.500
Ag 0.604 0.396 0.500
Ag 0.396 0.604 0.500
Ag 0.202 0.798 0.500
Cu 0.896 0.104 0.000
Cu 0.701 0.299 0.000
Cu 0.299 0.701 0.000
Cu 0.104 0.896 0.000
```

The formation energy is 45.0 kJ/mol of formula units. The energy above the most stable polymorph in this dataset is 61.0 meV per atom.

***

no.,E_tot (eV for the cell shown)
1,-64.49
2,-19.01
3,-45.40
4,-45.68
5,-45.64
6,-30.88